Record 1
GGA-PBE GaSnMo2, relaxed; energy relative to the lowest polymorph listed for this composition = 0 meV/atom; ΔE_f = 0.294 eV/atom
1.0
-0.249 1.701 2.482
-2.214 -0.536 1.981
4.408 -5.176 5.824
Mo Ga Sn
2 1 1
Direct
0.747 0.747 0.760 Mo
0.253 0.253 0.240 Mo
0.000 0.000 0.000 Ga
0.500 0.500 0.500 Sn



Record 2
The following is a DFT calculation (GGA-PBE) of a relaxed structure of Sr4HBr2.

Cell and atoms, written as POSCAR:
```
Sr4HBr2
1.0
4.931 0.000 0.000
0.000 4.931 0.000
2.465 2.465 11.322
H Br Sr
1 2 4
Direct
0.000 0.000 0.000 H
0.700 0.700 0.599 Br
0.300 0.300 0.401 Br
0.000 0.500 0.000 Sr
0.162 0.162 0.675 Sr
0.838 0.838 0.325 Sr
0.500 0.000 0.000 Sr
```



Record 3
GGA-PBE CuRe2Hg, relaxed; ΔE_f = 0.765 eV/atom
1.0
-4.443 1.808 2.057
-0.541 0.073 5.190
3.518 1.499 -3.551
Re Hg Cu
2 1 1
Direct
0.000 0.000 0.000 Re
0.500 0.500 0.000 Re
0.750 0.250 0.500 Hg
0.250 0.750 0.500 Cu



Record 4
GGA-PBE Cs2Zn2PbSe4, relaxed; formation energy without anion corrections = -867 meV/atom
1.0
-0.899 -4.177 -0.557
1.603 0.767 -8.328
7.421 0.052 4.299
Se Cs Pb Zn
4 2 1 2
Direct
0.471 0.236 0.942 Se
0.205 0.151 0.410 Se
0.529 0.764 0.058 Se
0.795 0.849 0.590 Se
0.130 0.540 0.260 Cs
0.870 0.460 0.740 Cs
0.000 0.000 0.000 Pb
0.672 0.971 0.343 Zn
0.328 0.029 0.657 Zn



Record 5
GGA-PBE NaLa2Y2, relaxed; energy relative to the lowest polymorph listed for this composition = 273 meV/atom; ΔE_f = 0.514 eV/atom
1.0
4.631 0.000 0.000
0.000 4.631 0.000
2.316 2.316 8.703
Y La Na
2 2 1
Direct
0.405 0.405 0.189 Y
0.595 0.595 0.811 Y
0.750 0.250 0.500 La
0.250 0.750 0.500 La
0.000 0.000 0.000 Na



Record 6
GGA-PBE MnRuW, relaxed; energy relative to the lowest polymorph listed for this composition = 38 meV/atom; ΔE_f = 0.124 eV/atom
1.0
6.004 -0.006 0.000
4.799 3.608 0.000
-5.402 -1.801 1.905
Ru W Mn
1 1 1
Direct
0.349 0.349 0.000 Ru
0.662 0.662 0.000 W
0.990 0.990 0.000 Mn



Record 7
The following is a DFT calculation (GGA-PBE) of a relaxed structure of Ho4H.

Cell and atoms, written as POSCAR:
```
Ho4H
1.0
4.954 0.000 0.000
0.000 4.954 0.000
0.000 0.000 4.954
Ho H
4 1
Direct
0.000 0.000 0.000 Ho
0.500 0.500 0.000 Ho
0.500 0.000 0.500 Ho
0.000 0.500 0.500 Ho
0.500 0.500 0.500 H
```



Record 8
GGA-PBE DySc3Ir4, relaxed; ΔE_f = -0.939 eV/atom
1.0
4.514 0.000 0.000
0.000 6.928 0.000
0.000 0.000 9.029
Ir Dy Sc
8 2 6
Direct
0.500 0.239 0.500 Ir
0.000 0.239 0.250 Ir
0.500 0.239 0.000 Ir
0.500 0.761 0.500 Ir
0.500 0.761 0.000 Ir
0.000 0.239 0.750 Ir
0.000 0.761 0.750 Ir
0.000 0.761 0.250 Ir
0.000 0.500 0.500 Dy
0.000 0.500 0.000 Dy
0.000 0.000 0.000 Sc
0.500 0.500 0.750 Sc
0.000 0.000 0.500 Sc
0.500 0.000 0.250 Sc
0.500 0.000 0.750 Sc
0.500 0.500 0.250 Sc



Record 9
GGA-PBE Ca3TaC, relaxed; energy relative to the lowest polymorph listed for this composition = 0 meV/atom; ΔE_f = 0.956 eV/atom
1.0
5.043 0.000 0.000
0.000 5.043 0.000
0.000 0.000 5.043
Ta Ca C
1 3 1
Direct
0.500 0.500 0.500 Ta
0.000 0.500 0.000 Ca
0.000 0.000 0.500 Ca
0.500 0.000 0.000 Ca
0.000 0.000 0.000 C



Record 10
The following is a DFT calculation (GGA-PBE) of a relaxed structure of Ba8H3N4.

Cell and atoms, written as POSCAR:
```
Ba8H3N4
1.0
8.116 -0.094 -0.135
-3.942 7.228 0.106
-3.942 -2.409 6.815
H Ba N
3 8 4
Direct
0.500 0.500 0.500 H
0.500 0.000 0.500 H
0.500 0.500 0.000 H
0.500 0.241 0.759 Ba
0.540 0.788 0.788 Ba
0.994 0.245 0.245 Ba
0.000 0.236 0.764 Ba
0.460 0.212 0.212 Ba
0.000 0.764 0.236 Ba
0.500 0.759 0.241 Ba
0.006 0.755 0.755 Ba
0.000 0.500 0.000 N
0.000 0.000 0.500 N
0.500 0.000 0.000 N
0.000 0.000 0.000 N
```



Record 11
GGA-PBE MgTa4Cu, relaxed; ΔE_f = 0.578 eV/atom
1.0
-1.138 -5.218 1.194
-3.168 -1.195 4.299
-5.054 -1.946 -0.783
Ta Mg Cu
4 1 1
Direct
0.374 0.374 0.878 Ta
0.374 0.878 0.374 Ta
0.878 0.374 0.374 Ta
0.374 0.374 0.374 Ta
0.000 0.000 0.000 Mg
0.750 0.750 0.750 Cu



Record 12
GGA-PBE Rb2CuReCl6, relaxed; formation energy without anion corrections = -961 meV/atom
1.0
7.610 0.000 0.000
0.000 7.610 0.000
3.805 3.805 4.547
Cl Cu Rb Re
6 1 2 1
Direct
0.264 0.264 0.471 Cl
0.736 0.736 0.529 Cl
0.224 0.224 0.000 Cl
0.224 0.776 0.000 Cl
0.776 0.776 0.000 Cl
0.776 0.224 0.000 Cl
0.500 0.500 0.000 Cu
0.250 0.750 0.500 Rb
0.750 0.250 0.500 Rb
0.000 0.000 0.000 Re



Quick rundown of uncorrected energy, same order as above: -27.52; -18.45; -26.24; -29.71; -21.53; -31.03; -22.47; -133.11; -22.30; -64.08; -49.63; -39.17 eV for the cell shown